The following is a PBEsol calculation of Fe2NiAu after structural relaxation, from Alexandria.

a b c (Å): 2.949 2.949 5.774
angles (deg): 90.00 90.00 90.00
Sites, in units of the cell vectors:
Ni: 0.000 0.000 0.466
Au: 0.500 0.500 0.747
Fe: 0.000 0.000 0.029
Fe: 0.500 0.500 0.258

Summary:
Size of the total moment (μB/atom): 1.491
Calculated density (g cm⁻³): 12.145
SG: No. 99
DFT total energy (eV/atom): -6.9103
Energy of formation (eV per atom): 0.092



The following is a PBEsol calculation of Zr2FeAs after structural relaxation, from Alexandria.

a b c (Å): 3.405 3.405 5.870
angles (deg): 90.02 90.00 90.00
Sites, in units of the cell vectors:
As: 0.500 0.500 0.500
Fe: 0.500 0.500 0.000
Zr: 0.000 0.000 0.753
Zr: 0.000 0.000 0.247

Summary:
Size of the total moment (μB/atom): 0.396
Calculated density (g cm⁻³): 7.642
SG: No. 123
DFT total energy (eV/atom): -8.5614
Energy of formation (eV per atom): -0.499



The following is a PBEsol calculation of NaAlAg2 after structural relaxation, from Alexandria.

a b c (Å): 7.449 7.449 6.009
angles (deg): 128.31 128.31 90.00
Sites, in units of the cell vectors:
Na: 0.750 0.250 0.500
Na: 0.500 0.500 0.000
Al: 0.250 0.750 0.500
Al: 0.000 0.000 0.000
Ag: 0.337 0.875 0.250
Ag: 0.913 0.375 0.250
Ag: 0.125 0.087 0.750
Ag: 0.625 0.663 0.750

Summary:
Size of the total moment (μB/atom): 0.000
Calculated density (g cm⁻³): 5.499
SG: No. 122
DFT total energy (eV/atom): -2.7932
Energy of formation (eV per atom): 0.235



The following is a PBEsol calculation of Ca2CuMoH after structural relaxation, from Alexandria.

a b c (Å): 3.376 5.528 5.528
angles (deg): 90.00 90.00 90.00
Sites, in units of the cell vectors:
H: 0.500 0.000 0.000
Mo: 0.000 0.000 0.000
Ca: 0.000 0.000 0.500
Ca: 0.000 0.500 0.000
Cu: 0.500 0.500 0.500

Summary:
Size of the total moment (μB/atom): 0.257
Calculated density (g cm⁻³): 3.873
SG: No. 123
DFT total energy (eV/atom): -3.9407



The following is a PBEsol calculation of TcAuO2 after structural relaxation, from Alexandria.

a b c (Å): 5.868 5.868 5.868
angles (deg): 60.00 60.00 60.00
Sites, in units of the cell vectors:
Au: 0.250 0.250 0.250
Au: 0.000 0.000 0.000
Tc: 0.750 0.750 0.750
Tc: 0.500 0.500 0.500
O: 0.625 0.625 0.125
O: 0.625 0.625 0.625
O: 0.125 0.625 0.625
O: 0.625 0.125 0.625

Summary:
Size of the total moment (μB/atom): 0.000
Energy relative to the elements, uncorrected (eV per atom): -0.261
Calculated density (g cm⁻³): 7.601
SG: No. 227
DFT total energy (eV/atom): -6.6828



The following is a PBEsol calculation of Ba3Mg after structural relaxation, from Alexandria.

a b c (Å): 4.326 4.327 10.580
angles (deg): 89.99 90.00 90.00
Sites, in units of the cell vectors:
Mg: 0.500 0.500 0.000
Ba: 0.000 0.000 0.194
Ba: 0.000 0.000 0.806
Ba: 0.500 0.500 0.500

Summary:
Size of the total moment (μB/atom): 0.000
Calculated density (g cm⁻³): 3.658
SG: No. 123
DFT total energy (eV/atom): -2.0565
Energy of formation (eV per atom): -0.016



The following is a PBEsol calculation of Al3Pd5 after structural relaxation, from Alexandria.

a b c (Å): 4.013 5.352 10.488
angles (deg): 90.00 90.00 90.00
Sites, in units of the cell vectors:
Al: 0.000 0.000 0.000
Al: 0.000 0.500 0.500
Al: 0.500 0.167 0.358
Al: 0.500 0.833 0.642
Al: 0.500 0.667 0.142
Al: 0.500 0.333 0.858
Pd: 0.500 0.189 0.106
Pd: 0.500 0.811 0.894
Pd: 0.500 0.689 0.394
Pd: 0.500 0.311 0.606
Pd: 0.000 0.000 0.500
Pd: 0.000 0.500 0.000
Pd: 0.000 0.912 0.235
Pd: 0.000 0.088 0.765
Pd: 0.000 0.412 0.265
Pd: 0.000 0.588 0.735

Summary:
Size of the total moment (μB/atom): 0.000
Calculated density (g cm⁻³): 9.037
SG: No. 55
DFT total energy (eV/atom): -6.1295
Energy of formation (eV per atom): -0.871



The following is a PBEsol calculation of La2Ni after structural relaxation, from Alexandria.

a b c (Å): 3.914 3.914 6.458
angles (deg): 90.00 90.00 120.00
Sites, in units of the cell vectors:
Ni: 0.000 0.000 0.000
La: 0.667 0.333 0.251
La: 0.333 0.667 0.749

Summary:
Size of the total moment (μB/atom): 0.000
Calculated density (g cm⁻³): 6.522
SG: No. 164
DFT total energy (eV/atom): -5.7203
Energy of formation (eV per atom): -0.104